# 1
The following is a DFT calculation (GGA-PBE) of crystalline Mn2RePb at its relaxed geometry.

Cell: 3.0193 3.0193 27.0700 Å, 90.00 90.00 120.00°
Last column: nearest neighbours and their distance in Å.
Space group R-3m (No. 166, hexagonal axes)
Symmetry-distinct sites (fractional):
Mn: 0.0000 0.0000 0.2392  3 Re 2.63
Re: 0.0000 0.0000 0.5000  6 Mn 2.63
Pb: 0.0000 0.0000 0.0000  6 Pb 3.02, 6 Mn 3.09



# 2
The following is a DFT calculation (GGA-PBE) of crystalline Mn2RePb at its relaxed geometry.

Cell: 4.2987 4.2987 3.5416 Å, 90.00 90.00 90.00°
Last column: nearest neighbours and their distance in Å.
Space group P4/mmm (No. 123)
Symmetry-distinct sites (fractional):
Mn: 0.0000 0.5000 0.0000  4 Pb 2.78, 4 Re 2.78, 4 Mn 3.04
Re: 0.0000 0.0000 0.5000  8 Mn 2.78, 4 Pb 3.04
Pb: 0.5000 0.5000 0.5000  8 Mn 2.78, 4 Re 3.04



# 3
The following is a DFT calculation (GGA-PBE) of crystalline Mn2RePb at its relaxed geometry.

Cell: 3.0160 3.0160 7.7087 Å, 90.00 90.00 90.00°
Last column: nearest neighbours and their distance in Å.
Space group P4/mmm (No. 123)
Symmetry-distinct sites (fractional):
Mn: 0.0000 0.0000 0.1995  4 Re 2.63
Re: 0.5000 0.5000 0.0000  8 Mn 2.63
Pb: 0.5000 0.5000 0.5000  4 Pb 3.02, 8 Mn 3.15



# 4
The following is a DFT calculation (GGA-PBE) of crystalline MnRe2Pb at its relaxed geometry.

Cell: 3.0412 3.0412 7.9443 Å, 90.00 90.00 90.00°
Last column: nearest neighbours and their distance in Å.
Space group P4mm (No. 99)
Symmetry-distinct sites (fractional):
Mn: 0.0000 0.0000 0.0000  4 Re 2.78, 4 Mn 3.04
Re: 0.0000 0.0000 0.5959  4 Re 2.59
Re: 0.5000 0.5000 0.7787  4 Re 2.59, 4 Mn 2.78
Pb: 0.5000 0.5000 0.3076  4 Pb 3.04, 4 Re 3.14, 4 Mn 3.26



# 5
The following is a DFT calculation (GGA-PBE) of crystalline MnRe2Pb at its relaxed geometry.

Cell: 3.2903 4.5255 8.8145 Å, 90.00 90.00 90.00°
Last column: nearest neighbours and their distance in Å.
Space group Imm2 (No. 44)
Symmetry-distinct sites (fractional):
Mn: 0.0000 0.0000 0.0000  6 Re 2.67-2.80, 2 Pb 2.76
Re: 0.0000 0.0000 0.5169  2 Re 2.71, 4 Mn 2.80, 2 Pb 2.86
Re: 0.0000 0.5000 0.2617  2 Mn 2.67, 2 Re 2.71, 4 Pb 2.80
Pb: 0.0000 0.5000 0.7518  2 Mn 2.76, 8 Re 2.80-3.07



# 6
The following is a DFT calculation (GGA-PBE) of crystalline MnRePb at its relaxed geometry.

Cell: 3.0590 3.0590 6.7776 Å, 90.00 90.00 120.00°
Last column: nearest neighbours and their distance in Å.
Space group P3m1 (No. 156)
Symmetry-distinct sites (fractional):
Mn: 0.0000 0.0000 0.0000  3 Re 2.49
Re: 0.3333 0.6667 0.7414  3 Mn 2.49
Pb: 0.6667 0.3333 0.3679  3 Mn 3.06, 6 Pb 3.06, 3 Re 3.09

Polymorph energy (0 for the lowest one) ... 68 meV per atom



# 7
The following is a DFT calculation (GGA-PBE) of crystalline MnRe2Pb at its relaxed geometry.

Cell: 3.9761 3.9761 4.1727 Å, 90.00 90.00 90.00°
Last column: nearest neighbours and their distance in Å.
Space group P4/mmm (No. 123)
Symmetry-distinct sites (fractional):
Mn: 0.0000 0.0000 0.0000  4 Pb 2.81, 8 Re 2.88
Re: 0.0000 0.5000 0.5000  4 Re 2.81, 4 Pb 2.88, 4 Mn 2.88
Pb: 0.5000 0.5000 0.0000  4 Mn 2.81, 8 Re 2.88



# 8
The following is a DFT calculation (GGA-PBE) of crystalline MnRePb4 at its relaxed geometry.

Cell: 8.8092 8.8092 8.8092 Å, 90.00 90.00 90.00°
Last column: nearest neighbours and their distance in Å.
Space group F-43m (No. 216)
Symmetry-distinct sites (fractional):
Mn: 0.0000 0.0000 0.0000  12 Pb 3.65, 4 Re 3.81
Re: 0.2500 0.2500 0.2500  12 Pb 3.65, 4 Mn 3.81
Pb: 0.1246 0.1246 0.6246  6 Pb 3.11-3.12



# 9
The following is a DFT calculation (GGA-PBE) of crystalline Mn2RePb at its relaxed geometry.

Cell: 6.3162 6.3162 6.3162 Å, 90.00 90.00 90.00°
Last column: nearest neighbours and their distance in Å.
Space group F-43m (No. 216)
Symmetry-distinct sites (fractional):
Mn: 0.0000 0.0000 0.0000  4 Mn 2.74, 4 Re 2.74
Mn: 0.2500 0.2500 0.2500  4 Pb 2.74, 4 Mn 2.74
Re: 0.2500 0.2500 0.7500  4 Mn 2.74, 4 Pb 2.74
Pb: 0.0000 0.0000 0.5000  4 Re 2.74, 4 Mn 2.74



# 10
The following is a DFT calculation (GGA-PBE) of crystalline MnRe2Pb at its relaxed geometry.

Cell: 3.9798 3.9798 19.2509 Å, 90.00 90.00 90.00°
Last column: nearest neighbours and their distance in Å.
Space group I-42d (No. 122)
Symmetry-distinct sites (fractional):
Mn: 0.0000 0.0000 0.0000  4 Re 2.70, 4 Pb 2.81
Re: 0.1772 0.2500 0.1250  2 Re 2.44, 2 Mn 2.70
Pb: 0.0000 0.0000 0.5000  4 Mn 2.81, 4 Re 2.90



# 11
The following is a DFT calculation (GGA-PBE) of crystalline Mn2RePb at its relaxed geometry.

Cell: 3.0153 3.6740 5.8197 Å, 90.00 90.00 90.00°
Last column: nearest neighbours and their distance in Å.
Space group Pmmm (No. 47)
Symmetry-distinct sites (fractional):
Mn: 0.0000 0.0000 0.2060  1 Mn 2.40, 4 Re 2.66
Re: 0.5000 0.5000 0.0000  8 Mn 2.66, 2 Pb 2.91
Pb: 0.5000 0.5000 0.5000  2 Re 2.91, 8 Mn 2.93, 2 Pb 3.02



# 12
The following is a DFT calculation (GGA-PBE) of crystalline MnRe2Pb at its relaxed geometry.

Cell: 3.0762 3.1192 7.3609 Å, 90.00 99.40 90.00°
Last column: nearest neighbours and their distance in Å.
Space group P2/m (No. 10)
Symmetry-distinct sites (fractional):
Mn: 0.0000 0.0000 0.0000  8 Re 2.55
Re: 0.4286 0.5000 0.8205  4 Mn 2.55, 1 Re 2.61
Pb: 0.0000 0.0000 0.5000  4 Re 2.95, 4 Pb 3.08-3.12



Table of energy of formation from the pure elements (eV per formula unit), in record order: 2.25, 2.43, 1.74, 1.86, 3.10, 2.10, 3.39, 8.16, 2.79, 3.84, 1.94, 2.69
Table of E (eV/atom), in record order: -8.062, -8.015, -8.188, -8.979, -8.670, -7.742, -8.596, -4.715, -7.926, -8.483, -8.138, -8.770